1.
Compound: BaAgAs4
Source: the Alexandria database
Functional: GGA-PBE
Structure: optimized geometry

extended XYZ file:
```
6
Lattice="0.0000 4.1503 4.1503 4.1503 0.0000 4.1503 4.1503 4.1503 0.0000" Properties=species:S:1:pos:R:3 pbc="T T T"
Ba 0.0000 0.0000 0.0000
Ag 6.2254 6.2254 6.2254
As 3.1825 3.1825 3.1825
As 5.1181 5.1181 3.1825
As 5.1181 3.1825 5.1181
As 3.1825 5.1181 5.1181
```

2.
Compound: Ba2NaSr2Rh
Source: the Alexandria database
Functional: GGA-PBE
Structure: optimized geometry

extended XYZ file:
```
12
Lattice="-5.8358 6.7403 3.5561 5.8358 -6.7403 3.5561 5.8358 6.7403 -3.5561" Properties=species:S:1:pos:R:3 pbc="T T T"
Ba 1.0533 2.6966 0.0000
Ba 6.8891 4.0437 0.0000
Ba -1.0533 2.6966 3.5561
Ba 4.7825 4.0437 3.5561
Na 5.8358 0.0000 1.7781
Na 0.0000 6.7403 1.7781
Sr 9.3547 0.8586 0.0000
Sr 3.5189 5.8817 0.0000
Sr 2.3169 0.8586 3.5561
Sr -3.5189 5.8817 3.5561
Rh 0.0000 0.0000 1.7781
Rh 0.0000 0.0000 5.3342
```

no.,formation energy from the elements (eV/atom),N(E_F) (states/eV/f.u.),size of the total moment (μB per formula unit)
1,-0.111,3.86,0.0
2,-0.032,5.40,0.0